[1]
First-principles (PBE) data for crystalline Ba3LaTa at its relaxed geometry, as listed in Alexandria via LeMat-Bulk.

Structure (CIF):
```
data_Ba3LaTa
_chemical_formula_sum 'Ba3 La1 Ta1'
_cell_length_a 6.3126
_cell_length_b 6.3126
_cell_length_c 6.3126
_cell_angle_alpha 90.00
_cell_angle_beta 90.00
_cell_angle_gamma 90.00
_space_group_name_H-M_alt 'P m -3 m'
_space_group_IT_number 221
_space_group_name_Hall '-P 4 2 3'
loop_
_atom_site_label
_atom_site_type_symbol
_atom_site_fract_x
_atom_site_fract_y
_atom_site_fract_z
Ba1 Ba 0.0000 0.0000 0.5000
La1 La 0.0000 0.0000 0.0000
Ta1 Ta 0.5000 0.5000 0.5000
```

V, Å³/atom: 50.31
Uncorrected energy, eV/atom: -2.919
Energy of formation, kJ/mol of atoms: 153.5

[2]
First-principles (PBE) data for crystalline Er6CuPd5 at its relaxed geometry, as listed in Alexandria via LeMat-Bulk.

Structure (CIF):
```
data_Er6CuPd5
_chemical_formula_sum 'Er12 Cu2 Pd10'
_cell_length_a 4.9164
_cell_length_b 14.7118
_cell_length_c 6.9668
_cell_angle_alpha 90.00
_cell_angle_beta 90.00
_cell_angle_gamma 90.00
_space_group_name_H-M_alt 'C m m m'
_space_group_IT_number 65
_space_group_name_Hall '-C 2 2'
loop_
_atom_site_label
_atom_site_type_symbol
_atom_site_fract_x
_atom_site_fract_y
_atom_site_fract_z
Er1 Er 0.0000 0.0000 0.2494
Er2 Er 0.0000 0.3342 0.2494
Cu1 Cu 0.0000 0.5000 0.0000
Pd1 Pd 0.0000 0.1663 0.0000
Pd2 Pd 0.0000 0.1689 0.5000
Pd3 Pd 0.0000 0.5000 0.5000
```

V, Å³/atom: 21.00
Uncorrected energy, eV/atom: -5.598
Energy of formation, kJ/mol of atoms: -78.3

[3]
First-principles (PBE) data for crystalline K2HgBr4 at its relaxed geometry, as listed in Alexandria via LeMat-Bulk.

Structure (CIF):
```
data_K2HgBr4
_chemical_formula_sum 'K8 Hg4 Br16'
_cell_length_a 8.9806
_cell_length_b 14.6040
_cell_length_c 9.8992
_cell_angle_alpha 90.00
_cell_angle_beta 116.70
_cell_angle_gamma 90.00
_space_group_name_H-M_alt 'C 1 2/c 1'
_space_group_IT_number 15
loop_
_space_group_symop_operation_xyz
'x,y,z'
'-x,-y,-z'
'-x,y,-z+1/2'
'x,-y,z+1/2'
'x+1/2,y+1/2,z'
'-x+1/2,-y+1/2,-z'
'-x+1/2,y+1/2,-z+1/2'
'x+1/2,-y+1/2,z+1/2'
loop_
_atom_site_label
_atom_site_type_symbol
_atom_site_fract_x
_atom_site_fract_y
_atom_site_fract_z
K1 K 0.0000 0.0700 0.2500
K2 K 0.0000 0.3213 0.7500
Hg1 Hg 0.0000 0.3747 0.2500
Br1 Br 0.0967 0.2552 0.0995
Br2 Br 0.2461 0.4940 0.4008
```

V, Å³/atom: 41.43
Uncorrected energy, eV/atom: -2.513
ΔE to the lowest computed polymorph, meV per atom: 0
Formation energy without anion corrections, eV/f.u.: -8.40